(1)
Below is a relaxed structure of BaCa2NiHg, with properties calculated at the PBE level.

For the calculated density, the calculation gives 5.052 g cm⁻³. For the total moment, the calculation gives 0.00 μB per cell. For the offset from the most stable computed form, the calculation gives 3 kJ/mol of formula units.

The structure belongs to space group P4/mmm (No. 123); the cell edges are 5.428, 5.428 and 5.318 Å and the angles 90.00°, 90.00° and 90.00°. The inequivalent atoms are Ba at (0.000, 0.000, 0.000), Ca at (0.000, 0.500, 0.500), Ni at (0.500, 0.500, 0.500) and Hg at (0.500, 0.500, 0.000).

(2)
Below is a relaxed structure of BaCa2HgO, with properties calculated at the PBE level.

For the calculated density, the calculation gives 5.368 g cm⁻³. The raw formation energy is -1.27 eV/atom. For the total moment, the calculation gives 0.00 μB per cell.

The structure belongs to space group P4/mmm (No. 123); the cell edges are 4.863, 4.863 and 5.677 Å and the angles 90.00°, 90.00° and 90.00°. The inequivalent atoms are Ba at (0.000, 0.000, 0.000), Ca at (0.000, 0.500, 0.500), Hg at (0.500, 0.500, 0.000) and O at (0.000, 0.000, 0.500).